Entry from Alexandria via LeMat-Bulk: crystalline Zr2FeN2 at its relaxed geometry (PBE-GGA).

Output
VASP energy = -9.24 eV per atom
ΔE_f (raw) = -0.80 eV/atom

Structure (CIF):
```
data_Zr2FeN2
_space_group_name_H-M_alt 'P 4/m b m'
_space_group_IT_number 127
_space_group_name_Hall '-P 4 2ab'
_cell_length_a 6.2180
_cell_length_b 6.2180
_cell_length_c 3.0868
_cell_angle_alpha 90.00
_cell_angle_beta 90.00
_cell_angle_gamma 90.00
loop_
_atom_site_label
_atom_site_fract_x
_atom_site_fract_y
_atom_site_fract_z
_atom_site_occupancy
Zr1 0.1643 0.3357 0.0000 1
Fe1 0.0000 0.0000 0.5000 1
N1 0.1541 0.6541 0.5000 1
```

Entry from Alexandria via LeMat-Bulk: crystalline Dy4MgAu5 at its relaxed geometry (PBE-GGA).

Output
E_form = -0.807 eV per atom
VASP energy = -4.45 eV per atom

Structure (CIF):
```
data_Dy4MgAu5
_space_group_name_H-M_alt 'P 4/m m m'
_space_group_IT_number 123
_space_group_name_Hall '-P 4 2'
_cell_length_a 3.5363
_cell_length_b 3.5363
_cell_length_c 17.8846
_cell_angle_alpha 90.00
_cell_angle_beta 90.00
_cell_angle_gamma 90.00
loop_
_atom_site_label
_atom_site_fract_x
_atom_site_fract_y
_atom_site_fract_z
_atom_site_occupancy
Dy1 0.0000 0.0000 0.1030 1
Dy2 0.0000 0.0000 0.3102 1
Mg1 0.0000 0.0000 0.5000 1
Au1 0.5000 0.5000 0.0000 1
Au2 0.5000 0.5000 0.2055 1
Au3 0.5000 0.5000 0.4089 1
```

Entry from Alexandria via LeMat-Bulk: crystalline Li3AlV at its relaxed geometry (PBE-GGA).

Output
Polymorph energy (0 for the lowest one) = 0.1888 eV per atom
E_form = 1.007 eV per atom
VASP energy = -2.71 eV per atom

Structure (CIF):
```
data_Li3AlV
_space_group_name_H-M_alt 'P m -3 m'
_space_group_IT_number 221
_space_group_name_Hall '-P 4 2 3'
_cell_length_a 4.7739
_cell_length_b 4.7739
_cell_length_c 4.7739
_cell_angle_alpha 90.00
_cell_angle_beta 90.00
_cell_angle_gamma 90.00
loop_
_atom_site_label
_atom_site_fract_x
_atom_site_fract_y
_atom_site_fract_z
_atom_site_occupancy
Li1 0.0000 0.0000 0.5000 1
Al1 0.5000 0.5000 0.5000 1
V1 0.0000 0.0000 0.0000 1
```

Entry from Alexandria via LeMat-Bulk: crystalline Al3SbIr at its relaxed geometry (PBE-GGA).

Output
Polymorph energy (0 for the lowest one) = 0.0000 eV per atom
VASP energy = -4.91 eV per atom
ΔE_f (raw) = -0.07 eV/atom

Structure (CIF):
```
data_Al3SbIr
_space_group_name_H-M_alt 'P m -3 m'
_space_group_IT_number 221
_space_group_name_Hall '-P 4 2 3'
_cell_length_a 4.7901
_cell_length_b 4.7901
_cell_length_c 4.7901
_cell_angle_alpha 90.00
_cell_angle_beta 90.00
_cell_angle_gamma 90.00
loop_
_atom_site_label
_atom_site_fract_x
_atom_site_fract_y
_atom_site_fract_z
_atom_site_occupancy
Al1 0.0000 0.0000 0.5000 1
Sb1 0.5000 0.5000 0.5000 1
Ir1 0.0000 0.0000 0.0000 1
```

Entry from Alexandria via LeMat-Bulk: crystalline LaPm5S6 at its relaxed geometry (PBE-GGA).

Output
VASP energy = -6.51 eV per atom
ΔE_f (raw) = -2.06 eV/atom

Structure (CIF):
```
data_LaPm5S6
_space_group_name_H-M_alt 'C 1 2/m 1'
_space_group_IT_number 12
_cell_length_a 7.0182
_cell_length_b 12.1896
_cell_length_c 7.0152
_cell_angle_alpha 90.00
_cell_angle_beta 109.70
_cell_angle_gamma 90.00
loop_
_space_group_symop_operation_xyz
'x,y,z'
'-x,-y,-z'
'-x,y,-z'
'x,-y,z'
'x+1/2,y+1/2,z'
'-x+1/2,-y+1/2,-z'
'-x+1/2,y+1/2,-z'
'x+1/2,-y+1/2,z'
loop_
_atom_site_label
_atom_site_fract_x
_atom_site_fract_y
_atom_site_fract_z
_atom_site_occupancy
La1 0.0000 0.0000 0.0000 1
Pm1 0.0000 0.1660 0.5000 1
Pm2 0.0000 0.3325 0.0000 1
Pm3 0.0000 0.5000 0.5000 1
S1 0.2462 0.5000 0.2514 1
S2 0.2468 0.3315 0.7467 1
```

Entry from Alexandria via LeMat-Bulk: crystalline AcCeHo2Se4 at its relaxed geometry (PBE-GGA).

Output
VASP energy = -5.92 eV per atom
ΔE_f (raw) = -1.77 eV/atom

Structure (CIF):
```
data_AcCeHo2Se4
_space_group_name_H-M_alt 'P 1 2/m 1'
_space_group_IT_number 10
_cell_length_a 7.1704
_cell_length_b 4.1192
_cell_length_c 7.4831
_cell_angle_alpha 90.00
_cell_angle_beta 108.46
_cell_angle_gamma 90.00
loop_
_space_group_symop_operation_xyz
'x,y,z'
'-x,-y,-z'
'-x,y,-z'
'x,-y,z'
loop_
_atom_site_label
_atom_site_fract_x
_atom_site_fract_y
_atom_site_fract_z
_atom_site_occupancy
Ac1 0.0000 0.0000 0.0000 1
Ce1 0.5000 0.5000 0.0000 1
Ho1 0.0000 0.5000 0.5000 1
Ho2 0.5000 0.0000 0.5000 1
Se1 0.2491 0.0000 0.7294 1
Se2 0.2647 0.5000 0.2760 1
```

Entry from Alexandria via LeMat-Bulk: crystalline Li2ScPt2 at its relaxed geometry (PBE-GGA).

Output
Polymorph energy (0 for the lowest one) = 0.0744 eV per atom
E_form = -0.706 eV per atom
VASP energy = -5.15 eV per atom

Structure (CIF):
```
data_Li2ScPt2
_space_group_name_H-M_alt 'I 4/m m m'
_space_group_IT_number 139
_space_group_name_Hall '-I 4 2'
_cell_length_a 3.4771
_cell_length_b 3.4771
_cell_length_c 13.4489
_cell_angle_alpha 90.00
_cell_angle_beta 90.00
_cell_angle_gamma 90.00
loop_
_atom_site_label
_atom_site_fract_x
_atom_site_fract_y
_atom_site_fract_z
_atom_site_occupancy
Li1 0.0000 0.5000 0.2500 1
Sc1 0.0000 0.0000 0.0000 1
Pt1 0.0000 0.0000 0.3967 1
```

Entry from Alexandria via LeMat-Bulk: crystalline Pm6TmSe8 at its relaxed geometry (PBE-GGA).

Output
VASP energy = -5.93 eV per atom
ΔE_f (raw) = -1.87 eV/atom

Structure (CIF):
```
data_Pm6TmSe8
_space_group_name_H-M_alt 'F m -3 m'
_space_group_IT_number 225
_space_group_name_Hall '-F 4 2 3'
_cell_length_a 11.8105
_cell_length_b 11.8105
_cell_length_c 11.8105
_cell_angle_alpha 90.00
_cell_angle_beta 90.00
_cell_angle_gamma 90.00
loop_
_atom_site_label
_atom_site_fract_x
_atom_site_fract_y
_atom_site_fract_z
_atom_site_occupancy
Pm1 0.0000 0.2500 0.2500 1
Tm1 0.0000 0.0000 0.0000 1
Se1 0.0000 0.0000 0.2447 1
Se2 0.2500 0.2500 0.2500 1
```

Look up the VASP energy of the second one.
-4.45 eV per atom

Which formula does entry 5 have?
LaPm5S6

Among the records above, which one has the highest VASP energy?
Li3AlV

The lowest VASP energy belongs to which entry?
Zr2FeN2